Model one:
## TlSeS (PBE-GGA)

Data for an optimized crystal structure of TlSeS.

a b c (Å): 4.5204 4.5204 4.4576
angles (deg): 90.00 90.00 120.00
Last column: nearest neighbours and their distance in Å.
Atoms (fractional coordinates):
Tl 0.0000 0.0000 0.0000  6 S 3.26-3.61, 6 Se 3.32-3.55
Se 0.3333 0.6667 0.4617  3 S 2.65
S 0.6667 0.3333 0.5601  3 Se 2.65

calculated density: 6.6 Mg/m³
SG: P3m1, No. 156


Model two:
## TlSeS (PBE-GGA)

Data for an optimized crystal structure of TlSeS.

a b c (Å): 6.1717 6.1717 5.3639
angles (deg): 113.77 113.77 79.80
Last column: nearest neighbours and their distance in Å.
Atoms (fractional coordinates):
Tl 0.1380 0.1380 0.3779  2 S 3.27-3.65, 5 Se 3.38-3.60, 2 Tl 3.48
Tl 0.8620 0.8620 0.6221  2 S 3.27-3.65, 5 Se 3.38-3.60, 2 Tl 3.48
Se 0.5119 0.0322 0.0201  1 S 2.30
Se 0.9678 0.4881 0.9799  1 S 2.30
S 0.4906 0.4361 0.1507  1 S 2.07, 1 Se 2.30
S 0.5639 0.5094 0.8493  1 S 2.07, 1 Se 2.30

calculated density: 6.1 Mg/m³
SG: C2, No. 5


Model three:
## TlSeS (PBE-GGA)

Data for an optimized crystal structure of TlSeS.

a b c (Å): 6.3264 6.3264 6.3264
angles (deg): 145.62 145.62 49.41
Last column: nearest neighbours and their distance in Å.
Atoms (fractional coordinates):
Tl 0.0000 0.0000 0.0000  1 S 2.94, 1 Se 3.19
Se 0.2778 0.2778 0.0000  4 S 2.67
S 0.7442 0.7442 0.0000  4 Se 2.67, 1 Tl 2.94

calculated density: 6.5 Mg/m³
SG: I4mm, No. 107


Structures ranked by computed energy, the most stable listed first: model two, model three, model one.


Model one:
## Tl8Se6S (PBE-GGA)

Data for an optimized crystal structure of Tl8Se6S.

a b c (Å): 8.1332 8.1332 8.1332
angles (deg): 104.49 104.49 104.49
Last column: nearest neighbours and their distance in Å.
Atoms (fractional coordinates):
Tl 0.1886 0.6855 0.3013  4 Se 2.99-3.20
Tl 0.2263 0.2263 0.2263  3 Se 2.70, 1 S 2.73
Tl 0.3013 0.1886 0.6855  4 Se 2.99-3.20
Tl 0.3145 0.6987 0.8114  4 Se 2.99-3.20
Tl 0.6855 0.3013 0.1886  4 Se 2.99-3.20
Tl 0.6987 0.8114 0.3145  4 Se 2.99-3.20
Tl 0.7737 0.7737 0.7737  3 Se 2.70, 1 S 2.73
Tl 0.8114 0.3145 0.6987  4 Se 2.99-3.20
Se 0.0198 0.7990 0.6030  2 Tl 2.70-2.99
Se 0.2010 0.3970 0.9802  2 Tl 2.70-2.99
Se 0.3970 0.9802 0.2010  2 Tl 2.70-2.99
Se 0.6030 0.0198 0.7990  2 Tl 2.70-2.99
Se 0.7990 0.6030 0.0198  2 Tl 2.70-2.99
Se 0.9802 0.2010 0.3970  2 Tl 2.70-2.99
S 0.5000 0.5000 0.5000  2 Tl 2.73

calculated density: 7.5 Mg/m³
SG: R-3, No. 148


Model two:
## Tl8Se6S (PBE-GGA)

Data for an optimized crystal structure of Tl8Se6S.

a b c (Å): 8.3198 8.3198 8.3198
angles (deg): 75.64 75.64 75.64
Last column: nearest neighbours and their distance in Å.
Atoms (fractional coordinates):
Tl 0.1267 0.1267 0.1267  6 Se 3.14-3.38
Tl 0.2070 0.6853 0.3409  1 S 2.97, 1 Se 3.17
Tl 0.3147 0.6591 0.7930  1 S 2.97, 1 Se 3.17
Tl 0.3409 0.2070 0.6853  1 S 2.97, 1 Se 3.17
Tl 0.6591 0.7930 0.3147  1 S 2.97, 1 Se 3.17
Tl 0.6853 0.3409 0.2070  1 S 2.97, 1 Se 3.17
Tl 0.7930 0.3147 0.6591  1 S 2.97, 1 Se 3.17
Tl 0.8733 0.8733 0.8733  6 Se 3.14-3.38
Se 0.0025 0.5127 0.1415  1 Se 2.43
Se 0.1415 0.0025 0.5127  1 Se 2.43
Se 0.4873 0.8585 0.9975  1 Se 2.43
Se 0.5127 0.1415 0.0025  1 Se 2.43
Se 0.8585 0.9975 0.4873  1 Se 2.43
Se 0.9975 0.4873 0.8585  1 Se 2.43
S 0.5000 0.5000 0.5000  6 Tl 2.97

calculated density: 6.7 Mg/m³
SG: R-3, No. 148


Structures ranked by computed energy, the most stable listed first: model two, model one.


Model one:
## Tl6SeS2 (PBE-GGA)

Data for an optimized crystal structure of Tl6SeS2.

a b c (Å): 7.0685 7.0685 9.8463
angles (deg): 105.05 105.05 39.93
Last column: nearest neighbours and their distance in Å.
Atoms (fractional coordinates):
Tl 0.0010 0.0010 0.1986  1 Se 2.97, 1 S 2.99
Tl 0.3384 0.3384 0.4711  1 S 2.89, 2 Se 3.19
Tl 0.3567 0.3567 0.9883  3 S 2.93
Tl 0.6433 0.6433 0.0117  3 S 2.93
Tl 0.6616 0.6616 0.5289  1 S 2.89, 2 Se 3.19
Tl 0.9990 0.9990 0.8014  1 Se 2.97, 1 S 2.99
Se 0.0000 0.0000 0.5000  6 Tl 2.97-3.19
S 0.2208 0.2208 0.1769  5 Tl 2.89-2.99
S 0.7792 0.7792 0.8231  5 Tl 2.89-2.99

calculated density: 7.5 Mg/m³
SG: C2/m, No. 12


Model two:
## Tl6SeS2 (PBE-GGA)

Data for an optimized crystal structure of Tl6SeS2.

a b c (Å): 9.0729 9.0729 8.0805
angles (deg): 98.21 98.21 27.15
Last column: nearest neighbours and their distance in Å.
Atoms (fractional coordinates):
Tl 0.0039 0.0039 0.2324  1 S 2.95, 2 Se 3.04
Tl 0.3258 0.3258 0.4062  2 S 2.96, 1 Se 3.05
Tl 0.3341 0.3341 0.9008  3 S 2.95-2.96
Tl 0.6659 0.6659 0.0992  3 S 2.95-2.96
Tl 0.6742 0.6742 0.5938  2 S 2.96, 1 Se 3.05
Tl 0.9961 0.9961 0.7676  1 S 2.95, 2 Se 3.04
Se 0.5000 0.5000 0.5000  6 Tl 3.04-3.05
S 0.1647 0.1647 0.8451  6 Tl 2.95-2.96
S 0.8353 0.8353 0.1549  6 Tl 2.95-2.96

calculated density: 7.6 Mg/m³
SG: C2/m, No. 12


Structures ranked by computed energy, the most stable listed first: model two, model one.


Model one:
## Tm2SeS (PBE-GGA)

Data for an optimized crystal structure of Tm2SeS.

a b c (Å): 4.3306 4.3306 7.6458
angles (deg): 106.39 106.39 59.91
Last column: nearest neighbours and their distance in Å.
Atoms (fractional coordinates):
Tm 0.0000 0.0000 0.0000  1 S 2.61, 3 Se 2.78
Tm 0.5171 0.5171 0.5500  3 S 2.58, 1 Se 2.76
Se 0.3888 0.3888 0.1688  4 Tm 2.76-2.78
S 0.8796 0.8796 0.6391  4 Tm 2.58-2.61

calculated density: 6.4 Mg/m³
SG: Cm, No. 8


Model two:
## Tm2SeS (PBE-GGA)

Data for an optimized crystal structure of Tm2SeS.

a b c (Å): 6.8534 6.8534 6.8534
angles (deg): 33.24 33.24 33.24
Last column: nearest neighbours and their distance in Å.
Atoms (fractional coordinates):
Tm 0.2405 0.2405 0.2405  3 S 2.68, 3 Se 2.89
Tm 0.7595 0.7595 0.7595  3 S 2.68, 3 Se 2.89
Se 0.0000 0.0000 0.0000  6 Tm 2.89
S 0.5000 0.5000 0.5000  6 Tm 2.68

calculated density: 8.7 Mg/m³
SG: R-3m, No. 166


Structures ranked by computed energy, the most stable listed first: model two, model one.